A relaxed structure of PrNd10Sm4, computed with PBE-GGA.

a = 12.8953 Å, b = 12.8953 Å, c = 6.8969 Å
α = 90.00°, β = 90.00°, γ = 90.00°
Last column: nearest neighbours and their distance in Å.
Space group I4/m (No. 87)
Unique sites:
Pr: 0.0000 0.0000 0.0000  8 Sm 4.22, 8 Nd 4.44
Nd: 0.0000 0.5000 0.2500  6 Nd 3.16-3.45
Nd: 0.1287 0.7089 0.2464  4 Nd 3.16-3.50, 3 Sm 3.40-3.54
Sm: 0.0667 0.1768 0.5000  6 Nd 3.40-3.54, 2 Sm 3.45

Computed properties:
- DFT formation energy: 0.504 eV/atom
- Volume: 38.229 Å³ per atom